1.
The following is a DFT calculation (PBE) of a relaxed structure of HfAu2F.

abc: 7.584 7.584 5.946
angles: 50.37 50.37 90.00
Element x y z (fractional)
F (0.250, 0.750, 0.500)
F (0.500, 0.500, 0.000)
Au (0.624, 0.125, 0.250)
Au (0.375, 0.376, 0.750)
Au (0.875, 0.874, 0.750)
Au (0.126, 0.625, 0.250)
Hf (0.000, 0.000, 0.000)
Hf (0.750, 0.250, 0.500)

Computed properties:
formation energy from raw total energies = -2.94 eV per formula unit
density of states at the Fermi level = 4.3 states/eV per cell

=====

2.
The following is a DFT calculation (PBE) of a relaxed structure of HfAuF3.

abc: 4.217 4.217 4.217
angles: 90.00 90.00 90.00
Element x y z (fractional)
F (0.000, 0.000, 0.500)
F (0.500, 0.000, 0.000)
F (0.000, 0.500, 0.000)
Au (0.500, 0.500, 0.500)
Hf (0.000, 0.000, 0.000)

Computed properties:
formation energy from raw total energies = -11.06 eV per formula unit
density of states at the Fermi level = 3.3 states/eV per cell

=====

Polymorph energy (0 for the lowest one), respectively: 0; 0 meV per atom.
Magnetization, respectively: 0.0; 0.0 μB per cell.